Below is an optimized crystal structure of Th3Tl2Hg, with properties calculated at the PBE-GGA level.

**Formation energy from the elements**: -0.17 eV per atom
**Crystal system**: tetragonal
**Fermi-level density of states**: 1.253 states/eV/atom
**Calculated total energy**: -4.7214 eV/atom
**Size of the total moment**: 0.00 μB per formula unit

Unit cell a=3.5208 b=3.5208 c=13.8254 alpha=90.00 beta=90.00 gamma=90.00
Fractional positions:
Tl 0.5000 0.5000 0.8316
Tl 0.5000 0.5000 0.1684
Th 0.0000 0.0000 0.3380
Th 0.0000 0.0000 0.0000
Th 0.0000 0.0000 0.6620
Hg 0.5000 0.5000 0.5000